1.
DFT (PBE-GGA) results for a geometry-optimized YMg2F8 structure.

a = 6.4708 Å, b = 6.4708 Å, c = 6.4708 Å
α = 133.87°, β = 133.87°, γ = 67.30°
Positions (direct):
Y  0.0000  0.0000  0.0000
Mg  0.2500  0.7500  0.5000
Mg  0.7500  0.2500  0.5000
F  0.1087  0.1087  0.4890
F  0.1087  0.6197  0.0000
F  0.3803  0.3803  0.4890
F  0.3803  0.8913  0.0000
F  0.6197  0.1087  0.0000
F  0.6197  0.6197  0.5110
F  0.8913  0.3803  0.0000
F  0.8913  0.8913  0.5110

Calculated density = 3.5 Mg/m³
Fermi-level density of states = 0.691 states/eV per atom
Formation energy from raw total energies = -3.24 eV per atom


2.
DFT (PBE-GGA) results for a geometry-optimized Y3MgF structure.

a = 4.9429 Å, b = 4.9429 Å, c = 4.9429 Å
α = 90.00°, β = 90.00°, γ = 90.00°
Positions (direct):
Y  0.0000  0.0000  0.5000
Y  0.0000  0.5000  0.0000
Y  0.5000  0.0000  0.0000
Mg  0.5000  0.5000  0.5000
F  0.0000  0.0000  0.0000

Calculated density = 4.3 Mg/m³
Fermi-level density of states = 1.065 states/eV per atom
Energy relative to the lowest polymorph listed for this composition = 0.00 eV/f.u.
Formation energy from raw total energies = -0.89 eV per atom


3.
DFT (PBE-GGA) results for a geometry-optimized YMgF structure.

a = 3.5063 Å, b = 3.5063 Å, c = 12.3954 Å
α = 90.00°, β = 90.00°, γ = 120.00°
Positions (direct):
Y  0.0000  0.0000  0.2126
Y  0.0000  0.0000  0.7874
Mg  0.3333  0.6667  0.0000
Mg  0.6667  0.3333  0.5000
F  0.6667  0.3333  0.3281
F  0.6667  0.3333  0.6719

Calculated density = 3.3 Mg/m³
Fermi-level density of states = 1.013 states/eV per atom
Formation energy from raw total energies = -1.51 eV per atom


What calculated volume values result from the calculations? In sequence: 12.6, 24.2, 22.0 A^3/atom.